Record 1
First-principles (PBE-GGA) data for a geometry-optimized ZrInTe structure, as listed in Alexandria.

Lattice parameters (Å, degrees): 4.9203 4.9203 3.7843 90.00 90.00 120.00
Closest atoms and distances in Å follow each position.
Element x y z (fractional)
In  0.0000  0.0000  0.9999  6 Zr 3.41, 6 Te 3.41, 2 In 3.78
Te  0.3333  0.6667  0.4999  3 Zr 2.84
Zr  0.6667  0.3333  0.5002  3 Te 2.84

Crystal system: hexagonal

Record 2
First-principles (PBE-GGA) data for a geometry-optimized ZrInTe3 structure, as listed in Alexandria.

Lattice parameters (Å, degrees): 5.5462 5.5462 5.5462 90.00 90.00 90.00
Closest atoms and distances in Å follow each position.
Element x y z (fractional)
Te  0.0000  0.5000  0.0000  2 In 2.77
Te  0.0000  0.0000  0.5000  2 In 2.77
Te  0.5000  0.0000  0.0000  2 In 2.77
Zr  0.5000  0.5000  0.5000  12 Te 3.92
In  0.0000  0.0000  0.0000  6 Te 2.77

Excess energy over the best structure of this formula in the dataset: 1138.4 meV/atom
Crystal system: cubic

Record 3
First-principles (PBE-GGA) data for a geometry-optimized ZrIn2Te structure, as listed in Alexandria.

Lattice parameters (Å, degrees): 5.5001 3.4263 5.7020 73.45 90.00 90.00
Closest atoms and distances in Å follow each position.
Element x y z (fractional)
In  0.0000  0.9344  0.9837  3 In 2.92-3.26, 2 Zr 3.20
In  0.0000  0.5656  0.5163  3 In 2.92-3.26, 2 Zr 3.20
Te  0.5000  0.2500  0.2500  2 Zr 2.88
Zr  0.5000  0.7500  0.7500  2 Te 2.88, 4 In 3.20

Crystal system: monoclinic

Record 4
First-principles (PBE-GGA) data for a geometry-optimized ZrIn4Te structure, as listed in Alexandria.

Lattice parameters (Å, degrees): 5.9798 5.9798 5.9798 60.00 60.00 60.00
Closest atoms and distances in Å follow each position.
Element x y z (fractional)
Zr  0.0000  0.0000  0.0000  12 In 3.50, 4 Te 3.66
In  0.3741  0.8777  0.3741  6 In 2.97-3.01
In  0.8777  0.3741  0.3741  6 In 2.97-3.01
In  0.3741  0.3741  0.8777  6 In 2.97-3.01
In  0.3741  0.3741  0.3741  6 In 2.97-3.01
Te  0.7500  0.7500  0.7500  12 In 3.51, 4 Zr 3.66

Crystal system: cubic

Record 5
First-principles (PBE-GGA) data for a geometry-optimized ThIn5 structure, as listed in Alexandria.

Lattice parameters (Å, degrees): 4.6834 4.7452 7.5716 108.26 90.00 90.00
Closest atoms and distances in Å follow each position.
Element x y z (fractional)
Th  0.0000  0.0000  0.0000  12 In 3.33-3.39
In  0.5000  0.8302  0.6605  10 In 3.30-3.40, 2 Th 3.38
In  0.0000  0.6688  0.3376  10 In 3.30-3.37, 2 Th 3.39
In  0.5000  0.5000  0.0000  4 Th 3.33, 8 In 3.37-3.40
In  0.0000  0.3312  0.6624  10 In 3.30-3.37, 2 Th 3.39
In  0.5000  0.1698  0.3395  10 In 3.30-3.40, 2 Th 3.38

Energy relative to the elements: -0.1441 eV/atom
Crystal system: orthorhombic

Record 6
First-principles (PBE-GGA) data for a geometry-optimized Th8In3 structure, as listed in Alexandria.

Lattice parameters (Å, degrees): 7.2441 7.2441 7.2441 90.94 90.94 90.94
Closest atoms and distances in Å follow each position.
Element x y z (fractional)
Th  0.8927  0.3167  0.1232  2 In 3.10-3.28
Th  0.3167  0.1232  0.8927  2 In 3.10-3.28
Th  0.1232  0.8927  0.3167  2 In 3.10-3.28
Th  0.3682  0.3682  0.3682  3 In 3.01, 1 Th 3.25
Th  0.6318  0.6318  0.6318  3 In 3.01, 1 Th 3.25
Th  0.8768  0.1073  0.6833  2 In 3.10-3.28
Th  0.6833  0.8768  0.1073  2 In 3.10-3.28
Th  0.1073  0.6833  0.8768  2 In 3.10-3.28
In  0.5000  0.0000  0.5000  6 Th 3.01-3.28
In  0.0000  0.5000  0.5000  6 Th 3.01-3.28
In  0.5000  0.5000  0.0000  6 Th 3.01-3.28

Energy relative to the elements: 0.3347 eV/atom
Crystal system: trigonal

no.,electronic total energy (eV/atom),density of states at the Fermi level (states/eV/f.u.)
1,-4.989,2.31
2,-3.553,7.88
3,-4.342,2.08
4,-3.653,3.85
5,-3.663,3.85
6,-5.808,16.95